Record 1
# Dy3Y2ThTe6 | the Alexandria database | PBE | relaxed
data_Dy3Y2ThTe6
_cell_length_a 18.9790
_cell_length_b 4.3362
_cell_length_c 8.8378
_cell_angle_alpha 90.00
_cell_angle_beta 101.39
_cell_angle_gamma 90.00
_space_group_name_H-M_alt 'C 1 2/m 1'
_space_group_IT_number 12
_space_group_name_Hall '-C 2y'
loop_
_atom_site_label
_atom_site_type_symbol
_atom_site_fract_x
_atom_site_fract_y
_atom_site_fract_z
_atom_site_occupancy
Dy1 Dy 0.0000 0.0000 0.0000 1
Dy2 Dy 0.1586 0.5000 0.3385 1
Y1 Y 0.1634 0.5000 0.8325 1
Th1 Th 0.0000 0.0000 0.5000 1
Te1 Te 0.0019 0.5000 0.7611 1
Te2 Te 0.1683 0.0000 0.0885 1
Te3 Te 0.1733 0.0000 0.5901 1
# - density (g/cm³) = 7.7
# - raw formation energy (eV/atom) = -1.239

***

Record 2
# PmHo2Hg8 | the Alexandria database | PBE | relaxed
data_PmHo2Hg8
_cell_length_a 16.0592
_cell_length_b 4.9442
_cell_length_c 7.2576
_cell_angle_alpha 90.00
_cell_angle_beta 108.91
_cell_angle_gamma 90.00
_space_group_name_H-M_alt 'C 1 2/m 1'
_space_group_IT_number 12
_space_group_name_Hall '-C 2y'
loop_
_atom_site_label
_atom_site_type_symbol
_atom_site_fract_x
_atom_site_fract_y
_atom_site_fract_z
_atom_site_occupancy
Pm1 Pm 0.0000 0.0000 0.0000 1
Ho1 Ho 0.2154 0.5000 0.6544 1
Hg1 Hg 0.0314 0.5000 0.7291 1
Hg2 Hg 0.0980 0.0000 0.4624 1
Hg3 Hg 0.1495 0.5000 0.1908 1
Hg4 Hg 0.1768 0.0000 0.9056 1
# - density (g/cm³) = 12.7
# - energy of formation (eV/atom) = -0.319
# - offset from the most stable computed form (eV per atom) = 0.0000

***

Record 3
# U6PbS12 | the Alexandria database | PBE | relaxed
data_U6PbS12
_cell_length_a 12.6465
_cell_length_b 12.6465
_cell_length_c 9.6942
_cell_angle_alpha 90.00
_cell_angle_beta 90.00
_cell_angle_gamma 120.00
_space_group_name_H-M_alt 'R -3 m'
_space_group_IT_number 166
_space_group_name_Hall '-R 3 2"'
loop_
_atom_site_label
_atom_site_type_symbol
_atom_site_fract_x
_atom_site_fract_y
_atom_site_fract_z
_atom_site_occupancy
U1 U 0.0566 0.5283 0.2803 1
Pb1 Pb 0.0000 0.0000 0.0000 1
S1 S 0.0000 0.3703 0.5000 1
S2 S 0.0870 0.1739 0.3581 1
# - density (g/cm³) = 7.5
# - raw formation energy (eV/atom) = -1.142

***

What is the formula in the third record? U6PbS12